VASP calculation (PBE-GGA) on a relaxed structure of PaGaAg2.

Output
Total energy = -17.96 eV/f.u.
Calculated volume = 82 Å³/f.u.
DOS(E_F) = 3.4 states/eV/cell
Formation enthalpy at 0 K = 0.07 eV per atom

Structure (extended XYZ):
```
4
Lattice="0.0000 3.4520 3.4520 3.4520 0.0000 3.4520 3.4520 3.4520 0.0000" Properties=species:S:1:pos:R:3 pbc="T T T"
Pa 0.0000 0.0000 0.0000
Ga 3.4520 3.4520 3.4520
Ag 1.7260 1.7260 1.7260
Ag 5.1780 5.1780 5.1780
```



VASP calculation (PBE-GGA) on a relaxed structure of Pa4Ga12Ag.

Output
Total energy = -82.97 eV/f.u.
Calculated volume = 330 Å³/f.u.
DOS(E_F) = 18.7 states/eV/cell
Formation enthalpy at 0 K = -0.34 eV per atom

Structure (extended XYZ):
```
17
Lattice="-4.3524 4.3524 4.3524 4.3524 -4.3524 4.3524 4.3524 4.3524 -4.3524" Properties=species:S:1:pos:R:3 pbc="T T T"
Pa 2.1762 2.1762 -2.1762
Pa 2.1762 -2.1762 2.1762
Pa -2.1762 2.1762 2.1762
Pa 2.1762 2.1762 2.1762
Ga 2.6422 0.0000 0.0000
Ga 6.0625 0.0000 0.0000
Ga 4.3524 2.1762 0.0000
Ga 4.3524 0.0000 2.1762
Ga 0.0000 2.6422 0.0000
Ga 0.0000 0.0000 2.6422
Ga 2.1762 4.3524 0.0000
Ga 2.1762 0.0000 4.3524
Ga 0.0000 6.0625 0.0000
Ga 0.0000 0.0000 6.0625
Ga 0.0000 4.3524 2.1762
Ga 0.0000 2.1762 4.3524
Ag 0.0000 0.0000 0.0000
```



VASP calculation (PBE-GGA) on a relaxed structure of PaGa5Ag.

Output
Total energy = -28.89 eV/f.u.
Calculated volume = 139 Å³/f.u.
DOS(E_F) = 5.4 states/eV/cell
Formation enthalpy at 0 K = -0.20 eV per atom

Structure (extended XYZ):
```
7
Lattice="4.4445 0.0000 0.0000 0.0000 4.4445 0.0000 0.0000 0.0000 7.0173" Properties=species:S:1:pos:R:3 pbc="T T T"
Pa 0.0000 0.0000 0.0000
Ga 0.0000 2.2223 2.0020
Ga 0.0000 2.2223 5.0153
Ga 2.2223 0.0000 2.0020
Ga 2.2223 0.0000 5.0153
Ga 2.2223 2.2223 0.0000
Ag 0.0000 0.0000 3.5087
```



VASP calculation (PBE-GGA) on a relaxed structure of Pa3Ga5Ag.

Output
Total energy = -48.14 eV/f.u.
Calculated volume = 189 Å³/f.u.
DOS(E_F) = 22.8 states/eV/cell
Formation enthalpy at 0 K = -0.19 eV per atom

Structure (extended XYZ):
```
18
Lattice="8.5754 0.0000 0.0000 -4.2877 7.4265 0.0000 0.0000 0.0000 5.9330" Properties=species:S:1:pos:R:3 pbc="T T T"
Pa -1.6400 2.8405 1.4833
Pa -2.6477 4.5860 4.4498
Pa 3.2800 0.0000 1.4833
Pa 1.6400 2.8405 4.4498
Pa 5.2954 0.0000 4.4498
Pa 2.6477 4.5860 1.4833
Ga -1.1944 2.0688 4.4498
Ga -3.0933 5.3577 1.4833
Ga 2.3889 0.0000 4.4498
Ga 1.1944 2.0688 1.4833
Ga 0.0000 4.9510 0.0000
Ga 0.0000 4.9510 2.9665
Ga 4.2877 2.4755 0.0000
Ga 4.2877 2.4755 2.9665
Ga 6.1865 0.0000 1.4833
Ga 3.0933 5.3577 4.4498
Ag 0.0000 0.0000 0.0000
Ag 0.0000 0.0000 2.9665
```



VASP calculation (PBE-GGA) on a relaxed structure of Pa2Ga4Ag3.

Output
Total energy = -40.75 eV/f.u.
Calculated volume = 178 Å³/f.u.
DOS(E_F) = 21.0 states/eV/cell
Formation enthalpy at 0 K = -0.12 eV per atom

Structure (extended XYZ):
```
18
Lattice="2.9565 -7.7262 0.0000 2.9565 7.7262 0.0000 0.0000 0.0000 7.7833" Properties=species:S:1:pos:R:3 pbc="T T T"
Pa 2.9565 6.1367 7.0547
Pa 2.9565 1.5894 3.1631
Pa 2.9565 -1.5894 4.6202
Pa 2.9565 -6.1367 0.7286
Ga 2.9565 5.0349 4.1201
Ga 1.4782 0.8800 5.8375
Ga 1.4782 -0.8800 1.9458
Ga 2.9565 2.6912 0.2285
Ga 2.9565 -2.6912 7.5548
Ga 4.4347 0.8800 5.8375
Ga 4.4347 -0.8800 1.9458
Ga 2.9565 -5.0349 3.6632
Ag 0.0000 0.0000 3.8917
Ag 1.4782 3.5086 5.8375
Ag 1.4782 -3.5086 1.9458
Ag 2.9565 0.0000 0.0000
Ag 4.4347 3.5086 5.8375
Ag 4.4347 -3.5086 1.9458
```



VASP calculation (PBE-GGA) on a relaxed structure of Pa2Ga5Ag.

Output
Total energy = -38.93 eV/f.u.
Calculated volume = 161 Å³/f.u.
DOS(E_F) = 8.9 states/eV/cell
Formation enthalpy at 0 K = -0.24 eV per atom

Structure (extended XYZ):
```
8
Lattice="-3.0803 3.0803 4.2534 3.0803 -3.0803 4.2534 3.0803 3.0803 -4.2534" Properties=species:S:1:pos:R:3 pbc="T T T"
Pa 3.0803 0.0000 0.0000
Pa 0.0000 3.0803 0.0000
Ga 0.0000 0.0000 0.0009
Ga 1.5387 1.5387 6.3801
Ga -1.5387 1.5387 6.3801
Ga 1.5387 -1.5387 6.3801
Ga 1.5417 1.5417 2.1266
Ag 0.0000 0.0000 4.2448
```



VASP calculation (PBE-GGA) on a relaxed structure of PaGa2Ag.

Output
Total energy = -18.81 eV/f.u.
Calculated volume = 82 Å³/f.u.
DOS(E_F) = 5.1 states/eV/cell
Formation enthalpy at 0 K = -0.10 eV per atom

Structure (extended XYZ):
```
4
Lattice="4.4506 0.0000 0.0000 0.0000 4.4506 0.0000 0.0000 0.0000 4.1627" Properties=species:S:1:pos:R:3 pbc="T T T"
Pa 0.0000 0.0000 0.0000
Ga 0.0000 2.2253 2.0813
Ga 2.2253 0.0000 2.0813
Ag 2.2253 2.2253 0.0000
```



VASP calculation (PBE-GGA) on a relaxed structure of Pa2Ga3Ag.

Output
Total energy = -32.22 eV/f.u.
Calculated volume = 123 Å³/f.u.
DOS(E_F) = 17.0 states/eV/cell
Formation enthalpy at 0 K = -0.22 eV per atom

Structure (extended XYZ):
```
12
Lattice="0.0000 4.6726 8.1078 3.2341 0.0000 8.1078 3.2341 4.6726 0.0000" Properties=species:S:1:pos:R:3 pbc="T T T"
Pa 4.8640 4.6726 8.1078
Pa 1.6171 2.3363 4.0539
Pa 4.8512 7.0089 12.1617
Pa 1.6042 4.6726 8.1078
Ga 3.2341 2.3480 6.7618
Ga 3.2341 4.6726 5.4225
Ga 3.2341 2.3480 9.4538
Ga 3.2341 6.9973 6.7618
Ga 3.2341 4.6726 10.7930
Ga 3.2341 6.9973 9.4538
Ag 3.2341 4.6726 2.7056
Ag 3.2341 4.6726 13.5100
```



VASP calculation (PBE-GGA) on a relaxed structure of PaGaAg2.

Output
Total energy = -17.86 eV/f.u.
Calculated volume = 79 Å³/f.u.
DOS(E_F) = 4.8 states/eV/cell
Formation enthalpy at 0 K = 0.09 eV per atom

Structure (extended XYZ):
```
4
Lattice="3.0979 0.0000 0.0000 0.0000 3.0979 0.0000 0.0000 0.0000 8.2258" Properties=species:S:1:pos:R:3 pbc="T T T"
Pa 0.0000 0.0000 0.0000
Ga 0.0000 0.0000 4.1129
Ag 1.5489 1.5489 2.3566
Ag 1.5489 1.5489 5.8692
```



VASP calculation (PBE-GGA) on a relaxed structure of PaGaAgPt.

Output
Total energy = -22.98 eV/f.u.
Calculated volume = 79 Å³/f.u.
DOS(E_F) = 4.3 states/eV/cell
Formation enthalpy at 0 K = -0.39 eV per atom

Structure (extended XYZ):
```
4
Lattice="0.0000 3.4068 3.4068 3.4068 0.0000 3.4068 3.4068 3.4068 0.0000" Properties=species:S:1:pos:R:3 pbc="T T T"
Pa 0.0000 0.0000 0.0000
Ga 3.4068 3.4068 3.4068
Ag 5.1102 5.1102 5.1102
Pt 1.7034 1.7034 1.7034
```



VASP calculation (PBE-GGA) on a relaxed structure of PuPaGaAg.

Output
Total energy = -29.50 eV/f.u.
Calculated volume = 94 Å³/f.u.
DOS(E_F) = 10.2 states/eV/cell
Formation enthalpy at 0 K = 0.05 eV per atom

Structure (extended XYZ):
```
4
Lattice="0.0000 3.6063 3.6063 3.6063 0.0000 3.6063 3.6063 3.6063 0.0000" Properties=species:S:1:pos:R:3 pbc="T T T"
Pu 0.0000 0.0000 0.0000
Pa 3.6063 3.6063 3.6063
Ga 1.8032 1.8032 1.8032
Ag 5.4095 5.4095 5.4095
```



VASP calculation (PBE-GGA) on a relaxed structure of ScPaGaAg.

Output
Total energy = -22.05 eV/f.u.
Calculated volume = 88 Å³/f.u.
DOS(E_F) = 7.2 states/eV/cell
Formation enthalpy at 0 K = -0.09 eV per atom

Structure (extended XYZ):
```
4
Lattice="0.0000 3.5247 3.5247 3.5247 0.0000 3.5247 3.5247 3.5247 0.0000" Properties=species:S:1:pos:R:3 pbc="T T T"
Sc 0.0000 0.0000 0.0000
Pa 3.5247 3.5247 3.5247
Ga 5.2870 5.2870 5.2870
Ag 1.7623 1.7623 1.7623
```



VASP calculation (PBE-GGA) on a relaxed structure of SmPaGaAg.

Output
Total energy = -20.28 eV/f.u.
Calculated volume = 97 Å³/f.u.
DOS(E_F) = 7.6 states/eV/cell
Formation enthalpy at 0 K = -0.05 eV per atom

Structure (extended XYZ):
```
4
Lattice="0.0000 3.6525 3.6525 3.6525 0.0000 3.6525 3.6525 3.6525 0.0000" Properties=species:S:1:pos:R:3 pbc="T T T"
Sm 0.0000 0.0000 0.0000
Pa 3.6525 3.6525 3.6525
Ga 1.8262 1.8262 1.8262
Ag 5.4787 5.4787 5.4787
```



VASP calculation (PBE-GGA) on a relaxed structure of PaGaAgSn.

Output
Total energy = -19.38 eV/f.u.
Calculated volume = 90 Å³/f.u.
DOS(E_F) = 3.7 states/eV/cell
Formation enthalpy at 0 K = 0.00 eV per atom

Structure (extended XYZ):
```
4
Lattice="0.0000 3.5521 3.5521 3.5521 0.0000 3.5521 3.5521 3.5521 0.0000" Properties=species:S:1:pos:R:3 pbc="T T T"
Pa 0.0000 0.0000 0.0000
Ga 5.3282 5.3282 5.3282
Ag 3.5521 3.5521 3.5521
Sn 1.7761 1.7761 1.7761
```



VASP calculation (PBE-GGA) on a relaxed structure of TbPaGaAg.

Output
Total energy = -20.28 eV/f.u.
Calculated volume = 95 Å³/f.u.
DOS(E_F) = 7.4 states/eV/cell
Formation enthalpy at 0 K = -0.07 eV per atom

Structure (extended XYZ):
```
4
Lattice="0.0000 3.6240 3.6240 3.6240 0.0000 3.6240 3.6240 3.6240 0.0000" Properties=species:S:1:pos:R:3 pbc="T T T"
Tb 0.0000 0.0000 0.0000
Pa 3.6240 3.6240 3.6240
Ga 5.4360 5.4360 5.4360
Ag 1.8120 1.8120 1.8120
```



VASP calculation (PBE-GGA) on a relaxed structure of YPaGaAg.

Output
Total energy = -22.16 eV/f.u.
Calculated volume = 95 Å³/f.u.
DOS(E_F) = 7.6 states/eV/cell
Formation enthalpy at 0 K = -0.08 eV per atom

Structure (extended XYZ):
```
4
Lattice="0.0000 3.6218 3.6218 3.6218 0.0000 3.6218 3.6218 3.6218 0.0000" Properties=species:S:1:pos:R:3 pbc="T T T"
Y 0.0000 0.0000 0.0000
Pa 3.6218 3.6218 3.6218
Ga 1.8109 1.8109 1.8109
Ag 5.4328 5.4328 5.4328
```



VASP calculation (PBE-GGA) on a relaxed structure of Ga5AgPb.

Output
Total energy = -21.27 eV/f.u.
Calculated volume = 151 Å³/f.u.
DOS(E_F) = 3.3 states/eV/cell
Formation enthalpy at 0 K = 0.06 eV per atom

Structure (extended XYZ):
```
7
Lattice="3.9743 0.0000 0.0000 0.0000 3.9743 0.0000 0.0000 0.0000 9.5409" Properties=species:S:1:pos:R:3 pbc="T T T"
Ga 0.0000 0.0000 0.0000
Ga 0.0000 1.9872 2.2372
Ga 0.0000 1.9872 7.3037
Ga 1.9872 0.0000 2.2372
Ga 1.9872 0.0000 7.3037
Ag 1.9872 1.9872 0.0000
Pb 0.0000 0.0000 4.7705
```



VASP calculation (PBE-GGA) on a relaxed structure of Ga2Ag6Pb.

Output
Total energy = -25.86 eV/f.u.
Calculated volume = 183 Å³/f.u.
DOS(E_F) = 3.7 states/eV/cell
Formation enthalpy at 0 K = 0.11 eV per atom

Structure (extended XYZ):
```
9
Lattice="4.9058 -3.3767 0.0000 4.9058 3.3767 0.0000 -0.7259 0.0000 5.5096" Properties=species:S:1:pos:R:3 pbc="T T T"
Ga 0.6445 0.0000 1.8356
Ga 8.4413 0.0000 3.6741
Ag 1.6740 1.4152 4.1013
Ag 4.9058 1.4675 0.0000
Ag 1.6740 -1.4152 4.1013
Ag 7.4118 1.4152 1.4084
Ag 4.9058 -1.4675 0.0000
Ag 7.4118 -1.4152 1.4084
Pb 4.5429 0.0000 2.7548
```



VASP calculation (PBE-GGA) on a relaxed structure of GaAg2Pb.

Output
Total energy = -12.02 eV/f.u.
Calculated volume = 86 Å³/f.u.
DOS(E_F) = 1.5 states/eV/cell
Formation enthalpy at 0 K = 0.10 eV per atom

Structure (extended XYZ):
```
4
Lattice="1.6425 0.9483 9.1546 -1.6425 0.9483 9.1546 0.0000 -1.8966 9.1546" Properties=species:S:1:pos:R:3 pbc="T T T"
Ga 0.0000 0.0000 0.0000
Ag 0.0000 0.0000 7.1411
Ag 0.0000 0.0000 20.3226
Pb 0.0000 0.0000 13.7318
```



VASP calculation (PBE-GGA) on a relaxed structure of GaAg2Pb.

Output
Total energy = -11.92 eV/f.u.
Calculated volume = 86 Å³/f.u.
DOS(E_F) = 2.2 states/eV/cell
Formation enthalpy at 0 K = 0.13 eV per atom

Structure (extended XYZ):
```
4
Lattice="0.0000 3.5091 3.5091 3.5091 0.0000 3.5091 3.5091 3.5091 0.0000" Properties=species:S:1:pos:R:3 pbc="T T T"
Ga 0.0000 0.0000 0.0000
Ag 1.7545 1.7545 1.7545
Ag 5.2636 5.2636 5.2636
Pb 3.5091 3.5091 3.5091
```



VASP calculation (PBE-GGA) on a relaxed structure of GaAg2Pb2.

Output
Total energy = -15.31 eV/f.u.
Calculated volume = 126 Å³/f.u.
DOS(E_F) = 2.2 states/eV/cell
Formation enthalpy at 0 K = 0.17 eV per atom

Structure (extended XYZ):
```
5
Lattice="-1.9174 1.9174 8.5875 1.9174 -1.9174 8.5875 1.9174 1.9174 -8.5875" Properties=species:S:1:pos:R:3 pbc="T T T"
Ga 0.0000 0.0000 0.0000
Ag 1.9174 0.0000 4.2937
Ag 0.0000 1.9174 4.2937
Pb 0.0000 0.0000 6.8024
Pb 0.0000 0.0000 10.3725
```



VASP calculation (PBE-GGA) on a relaxed structure of GaAg2Pb.

Output
Total energy = -12.00 eV/f.u.
Calculated volume = 86 Å³/f.u.
DOS(E_F) = 1.3 states/eV/cell
Formation enthalpy at 0 K = 0.11 eV per atom

Structure (extended XYZ):
```
4
Lattice="2.8695 -1.6243 0.0000 2.8695 1.6243 0.0000 -1.7047 0.0000 9.2151" Properties=species:S:1:pos:R:3 pbc="T T T"
Ga 0.0000 0.0000 0.0000
Ag 1.9229 0.0000 2.0175
Ag 2.1024 0.0000 7.2033
Pb 0.1057 0.0000 4.6087
```



VASP calculation (PBE-GGA) on a relaxed structure of GaAg2Pb2.

Output
Total energy = -15.62 eV/f.u.
Calculated volume = 121 Å³/f.u.
DOS(E_F) = 3.5 states/eV/cell
Formation enthalpy at 0 K = 0.11 eV per atom

Structure (extended XYZ):
```
10
Lattice="7.1214 0.0000 0.0000 0.0000 7.1214 0.0000 0.0000 0.0000 4.7555" Properties=species:S:1:pos:R:3 pbc="T T T"
Ga 0.0000 0.0000 0.0000
Ga 3.5607 3.5607 0.0000
Ag 1.0003 2.5603 0.0000
Ag 2.5603 6.1210 0.0000
Ag 4.5610 1.0003 0.0000
Ag 6.1210 4.5610 0.0000
Pb 1.2205 4.7811 2.3778
Pb 2.3402 1.2205 2.3778
Pb 4.7811 5.9009 2.3778
Pb 5.9009 2.3402 2.3778
```



VASP calculation (PBE-GGA) on a relaxed structure of Ga4Ag2Pb.

Output
Total energy = -21.28 eV/f.u.
Calculated volume = 142 Å³/f.u.
DOS(E_F) = 2.5 states/eV/cell
Formation enthalpy at 0 K = 0.03 eV per atom

Structure (extended XYZ):
```
7
Lattice="5.2590 0.0000 0.0000 2.5910 4.8406 0.0000 1.2615 2.3356 5.5947" Properties=species:S:1:pos:R:3 pbc="T T T"
Ga 0.6645 1.2237 0.4630
Ga 4.6297 5.3718 2.8224
Ga 4.4818 1.8045 2.7723
Ga 8.4470 5.9525 5.1316
Ag 4.5510 3.6352 0.5873
Ag 4.5605 3.5410 5.0073
Pb 1.9262 3.5881 2.7973
```



VASP calculation (PBE-GGA) on a relaxed structure of Ga10Ag2Pb.

Output
Total energy = -39.09 eV/f.u.
Calculated volume = 259 Å³/f.u.
DOS(E_F) = 4.3 states/eV/cell
Formation enthalpy at 0 K = 0.05 eV per atom

Structure (extended XYZ):
```
13
Lattice="0.0000 6.6809 6.7109 2.8836 0.0000 6.7109 2.8836 6.6809 0.0000" Properties=species:S:1:pos:R:3 pbc="T T T"
Ga 1.4418 0.0000 3.3554
Ga 2.8836 5.2650 1.4348
Ga 2.8836 4.3390 4.3092
Ga 2.8836 8.0969 1.4348
Ga 2.8836 9.0228 4.3092
Ga 1.4418 6.6809 3.3554
Ga 2.8836 4.3390 9.1125
Ga 2.8836 5.2650 11.9869
Ga 2.8836 9.0228 9.1125
Ga 2.8836 8.0969 11.9869
Ag 1.4418 3.3405 0.0000
Ag 1.4418 3.3405 6.7109
Pb 2.8836 6.6809 6.7109
```



VASP calculation (PBE-GGA) on a relaxed structure of GaAg2Pb.

Output
Total energy = -11.96 eV/f.u.
Calculated volume = 85 Å³/f.u.
DOS(E_F) = 1.6 states/eV/cell
Formation enthalpy at 0 K = 0.12 eV per atom

Structure (extended XYZ):
```
4
Lattice="4.4395 0.0000 0.0000 0.0000 4.4395 0.0000 0.0000 0.0000 4.3128" Properties=species:S:1:pos:R:3 pbc="T T T"
Ga 0.0000 0.0000 0.0000
Ag 0.0000 2.2197 2.1564
Ag 2.2197 0.0000 2.1564
Pb 2.2197 2.2197 0.0000
```